Entry 1:
NpScBe, optimized geometry, DFT GGA-PBE; VASP energy = -0.509 Ry per atom; relative energy among the computed polymorphs = 0.000 eV per atom; symmetry = No. 216; magnetic moment = 18.830 μB per cell
1.0
6.3860 0.0000 0.0000
0.0000 6.3860 0.0000
0.0000 0.0000 6.3860
Np Sc Be
4 4 4
direct
0.0000 0.0000 0.0000
0.0000 0.5000 0.5000
0.5000 0.0000 0.5000
0.5000 0.5000 0.0000
0.0000 0.0000 0.5000
0.0000 0.5000 0.0000
0.5000 0.0000 0.0000
0.5000 0.5000 0.5000
0.2500 0.2500 0.2500
0.2500 0.7500 0.7500
0.7500 0.2500 0.7500
0.7500 0.7500 0.2500

---

Entry 2:
LiSiTe3Au, optimized geometry, DFT GGA-PBE; VASP energy = -0.258 Ry per atom; symmetry = No. 63
1.0
1.8389 -7.2933 0.0000
1.8389 7.2933 0.0000
0.0000 0.0000 11.1439
Li Si Te Au
2 2 6 2
direct
0.2113 0.7887 0.7500
0.7887 0.2113 0.2500
0.5000 0.5000 0.0000
0.5000 0.5000 0.5000
0.1383 0.8617 0.0148
0.1383 0.8617 0.4852
0.4538 0.5462 0.2500
0.5462 0.4538 0.7500
0.8617 0.1383 0.5148
0.8617 0.1383 0.9852
0.1446 0.8554 0.2500
0.8554 0.1446 0.7500

---

Entry 3:
BeGaFeAs, optimized geometry, DFT GGA-PBE; VASP energy = -0.328 Ry per atom; relative energy among the computed polymorphs = 0.152 eV per atom; symmetry = No. 216; magnetic moment = 7.808 μB per cell
1.0
6.0920 0.0000 0.0000
0.0000 6.0920 0.0000
0.0000 0.0000 6.0920
Be Ga Fe As
4 4 4 4
direct
0.0000 0.0000 0.0000
0.0000 0.5000 0.5000
0.5000 0.0000 0.5000
0.5000 0.5000 0.0000
0.0000 0.0000 0.5000
0.0000 0.5000 0.0000
0.5000 0.0000 0.0000
0.5000 0.5000 0.5000
0.2500 0.2500 0.2500
0.2500 0.7500 0.7500
0.7500 0.2500 0.7500
0.7500 0.7500 0.2500
0.2500 0.2500 0.7500
0.2500 0.7500 0.2500
0.7500 0.2500 0.2500
0.7500 0.7500 0.7500

---

Entry 4:
K2NaNbF6, optimized geometry, DFT GGA-PBE; VASP energy = -0.380 Ry per atom; symmetry = No. 225; magnetic moment = 2.000 μB per cell
1.0
0.0000 4.1392 4.1392
4.1392 0.0000 4.1392
4.1392 4.1392 0.0000
K Na Nb F
2 1 1 6
direct
0.2500 0.2500 0.2500
0.7500 0.7500 0.7500
0.0000 0.0000 0.0000
0.5000 0.5000 0.5000
0.2517 0.2517 0.7483
0.2517 0.7483 0.2517
0.2517 0.7483 0.7483
0.7483 0.2517 0.2517
0.7483 0.2517 0.7483
0.7483 0.7483 0.2517

---

Entry 5:
PrDyAl4Ni2, optimized geometry, DFT GGA-PBE; VASP energy = -0.370 Ry per atom; symmetry = No. 38; magnetic moment = 0.002 μB per cell
1.0
6.9381 0.0000 0.0000
0.0000 4.0684 0.0000
0.0000 0.0000 10.5740
Pr Dy Al Ni
2 2 8 4
direct
0.0000 0.0000 0.0000
0.0000 0.5000 0.5000
0.5000 0.0000 0.8865
0.5000 0.5000 0.3865
0.1975 0.0000 0.2797
0.1975 0.5000 0.7797
0.3086 0.0000 0.6088
0.3086 0.5000 0.1088
0.6914 0.0000 0.6088
0.6914 0.5000 0.1088
0.8025 0.0000 0.2797
0.8025 0.5000 0.7797
0.0000 0.0000 0.7241
0.0000 0.5000 0.2241
0.5000 0.0000 0.1585
0.5000 0.5000 0.6585

---

Entry 6:
GeTeIr, optimized geometry, DFT GGA-PBE; VASP energy = -0.415 Ry per atom; symmetry = No. 216; magnetic moment = 0.004 μB per cell
1.0
6.2965 0.0000 0.0000
0.0000 6.2965 0.0000
0.0000 0.0000 6.2965
Ge Te Ir
4 4 4
direct
0.0000 0.0000 0.0000
0.0000 0.5000 0.5000
0.5000 0.0000 0.5000
0.5000 0.5000 0.0000
0.0000 0.0000 0.5000
0.0000 0.5000 0.0000
0.5000 0.0000 0.0000
0.5000 0.5000 0.5000
0.2500 0.2500 0.2500
0.2500 0.7500 0.7500
0.7500 0.2500 0.7500
0.7500 0.7500 0.2500

---

> What is the formula in the fourth record?

K2NaNbF6

---

Copy entry 6 word for word.
GeTeIr, optimized geometry, DFT GGA-PBE; VASP energy = -0.415 Ry per atom; symmetry = No. 216; magnetic moment = 0.004 μB per cell
1.0
6.2965 0.0000 0.0000
0.0000 6.2965 0.0000
0.0000 0.0000 6.2965
Ge Te Ir
4 4 4
direct
0.0000 0.0000 0.0000
0.0000 0.5000 0.5000
0.5000 0.0000 0.5000
0.5000 0.5000 0.0000
0.0000 0.0000 0.5000
0.0000 0.5000 0.0000
0.5000 0.0000 0.0000
0.5000 0.5000 0.5000
0.2500 0.2500 0.2500
0.2500 0.7500 0.7500
0.7500 0.2500 0.7500
0.7500 0.7500 0.2500